BeAgBr2 | PBE | optimized geometry

```
data_BeAgBr2
_symmetry_space_group_name_H-M 'P 1 2/m 1'
_symmetry_Int_Tables_number 10
_symmetry_space_group_name_Hall '-P 2y'
_cell_length_a 3.7355
_cell_length_b 3.2071
_cell_length_c 10.6371
_cell_angle_alpha 90.00
_cell_angle_beta 96.38
_cell_angle_gamma 90.00
loop_
_atom_site_label
_atom_site_type_symbol
_atom_site_fract_x
_atom_site_fract_y
_atom_site_fract_z
Be1 Be 0.0000 0.0000 0.0000
Ag1 Ag 0.5000 0.0000 0.5000
Br1 Br 0.1003 0.5000 0.8584
```

Output
formation energy from raw total energies: -0.4 eV/f.u.
uncorrected energy: -10.35 eV/cell

***

Cd5Hg3Bi2 | PBE | optimized geometry

```
data_Cd5Hg3Bi2
_symmetry_space_group_name_H-M 'C 1 2/c 1'
_symmetry_Int_Tables_number 15
_symmetry_space_group_name_Hall '-C 2yc'
_cell_length_a 10.6892
_cell_length_b 13.3206
_cell_length_c 7.5733
_cell_angle_alpha 90.00
_cell_angle_beta 101.89
_cell_angle_gamma 90.00
loop_
_atom_site_label
_atom_site_type_symbol
_atom_site_fract_x
_atom_site_fract_y
_atom_site_fract_z
Cd1 Cd 0.0000 0.0520 0.2500
Cd2 Cd 0.1537 0.3560 0.5733
Cd3 Cd 0.2400 0.0542 0.0256
Hg1 Hg 0.0000 0.4941 0.2500
Hg2 Hg 0.1170 0.1377 0.6398
Bi1 Bi 0.1183 0.2586 0.1272
```

Output
uncorrected energy: -51.24 eV/cell
formation enthalpy at 0 K: 4.17 kJ per mole of atoms